(1)
Li2Zn4Cu3: relaxed, PBE-GGA.

a b c (Å): 7.2846 4.2131 7.7181
angles (deg): 90.00 90.11 90.00
Closest atoms and distances in Å follow each position.
Space group C2/m (No. 12)
One atom of each set of equivalent atoms:
Li: 0.1668 0.0000 0.2766 [4 per cell]  1 Cu 2.57, 7 Zn 2.57-2.60
Zn: 0.0000 0.5000 0.1653 [4 per cell]  1 Zn 2.55, 4 Cu 2.57-2.58, 3 Li 2.58
Zn: 0.1665 0.0000 0.6130 [4 per cell]  4 Cu 2.55-2.58, 4 Li 2.57-2.60
Cu: 0.0000 0.5000 0.5000 [2 per cell]  8 Zn 2.58
Cu: 0.1667 0.0000 0.9439 [4 per cell]  4 Zn 2.55-2.57, 1 Li 2.57, 3 Cu 2.58

Values from the calculation:
Formation energy: -0.15 eV/atom

(2)
LiZn6Cu4: relaxed, PBE-GGA.

a b c (Å): 6.2977 6.2977 9.1602
angles (deg): 90.00 90.00 90.00
Closest atoms and distances in Å follow each position.
Space group I-42m (No. 121)
One atom of each set of equivalent atoms:
Li: 0.0000 0.0000 0.0000 [2 per cell]  4 Cu 3.08, 12 Zn 3.15-3.34
Zn: 0.0000 0.5000 0.0000 [4 per cell]  4 Cu 2.46
Zn: 0.1909 0.1909 0.2933 [8 per cell]  4 Cu 2.39-2.59
Cu: 0.1627 0.1627 0.5749 [8 per cell]  6 Zn 2.39-2.59, 2 Cu 2.47

Values from the calculation:
Formation energy: 0.05 eV/atom

(3)
LiZn3Cu7: relaxed, PBE-GGA.

a b c (Å): 8.7809 8.8331 4.3773
angles (deg): 90.00 118.43 90.00
Closest atoms and distances in Å follow each position.
Space group C2/m (No. 12)
One atom of each set of equivalent atoms:
Li: 0.0000 0.0000 0.0000 [2 per cell]  4 Cu 2.19-2.39
Zn: 0.0000 0.2730 0.5000 [4 per cell]  9 Cu 2.41-2.62
Zn: 0.0000 0.5000 0.0000 [2 per cell]  8 Cu 2.44-2.70
Cu: 0.0000 0.0000 0.5000 [2 per cell]  2 Li 2.19, 2 Zn 2.41
Cu: 0.1786 0.2727 0.1795 [8 per cell]  4 Zn 2.44-2.62, 3 Cu 2.47-2.61
Cu: 0.1918 0.5000 0.6661 [4 per cell]  1 Li 2.39, 3 Zn 2.49-2.58, 2 Cu 2.61

Values from the calculation:
Formation energy: 0.13 eV/atom

(4)
Li8ZnCu2: relaxed, PBE-GGA.

a b c (Å): 14.4637 4.0225 5.9454
angles (deg): 90.00 100.29 90.00
Closest atoms and distances in Å follow each position.
Space group C2/m (No. 12)
One atom of each set of equivalent atoms:
Li: 0.0519 0.0000 0.2390 [4 per cell]  2 Zn 2.73, 7 Li 2.77-2.97, 1 Cu 2.80
Li: 0.0997 0.5000 0.9598 [4 per cell]  3 Cu 2.58-2.80, 5 Li 2.67-2.77, 1 Zn 2.85
Li: 0.1390 0.0000 0.6981 [4 per cell]  3 Cu 2.61-2.84, 7 Li 2.67-2.85
Li: 0.1865 0.5000 0.4074 [4 per cell]  8 Li 2.71-2.85, 3 Cu 2.79-2.86, 1 Zn 2.85
Zn: 0.0000 0.5000 0.5000 [2 per cell]  12 Li 2.73-2.94
Cu: 0.2302 0.0000 0.1187 [4 per cell]  2 Cu 2.58, 10 Li 2.58-2.86

Values from the calculation:
Formation energy: -0.04 eV/atom

What is the formation energy in the fourth record? -0.04 eV/atom

Look up the formation energy of the fourth one. -0.04 eV/atom

What is the formation energy in the first record? -0.15 eV/atom

The highest formation energy belongs to which entry? LiZn3Cu7